1.
Here is a geometry-optimized ZrMn2AgPt structure from the Alexandria database. Energies are from PBE.

Summary:
Formation energy   1.48 eV/atom
SG   No. 123
VASP energy   -5.68 eV/atom

a = 4.571 Å, b = 4.571 Å, c = 5.066 Å
α = 90.00°, β = 90.00°, γ = 90.00°
Positions (direct):
Zr: 0.000 0.000 0.000
Mn: 0.000 0.500 0.000
Mn: 0.500 0.000 0.000
Ag: 0.000 0.000 0.500
Pt: 0.500 0.500 0.500

***

2.
Here is a geometry-optimized Pu2MnAg structure from the Alexandria database. Energies are from PBE.

Summary:
Energy above the lowest structure with this stoichiometry   11.14 kJ/mol of atoms
Formation energy   0.16 eV/atom
SG   No. 123
VASP energy   -10.01 eV/atom

a = 4.423 Å, b = 4.423 Å, c = 4.370 Å
α = 90.00°, β = 90.00°, γ = 90.00°
Positions (direct):
Pu: 0.000 0.500 0.000
Pu: 0.500 0.000 0.000
Mn: 0.000 0.000 0.500
Ag: 0.500 0.500 0.500

***

> What is the formation energy in the second record?

0.16 eV/atom

***

> What is the VASP energy in the second record?

-10.01 eV/atom

***

> The highest formation energy belongs to which entry?

ZrMn2AgPt